# Ge3SbS

Crystalline Ge3SbS at its relaxed geometry (PBEsol, Alexandria via LeMat-Bulk).

Cell: 4.877 4.877 4.877 Å, 90.00 90.00 90.00°
Sites, in units of the cell vectors:
Ge 0.000 0.000 0.500
Ge 0.500 0.000 0.000
Ge 0.000 0.500 0.000
Sb 0.500 0.500 0.500
S 0.000 0.000 0.000

Results
For the calculated total energy, the calculation gives -4.3293 eV/atom.